Entry 1:
First-principles (PBE) data for KHfSe3 after structural relaxation, as listed in the Alexandria database.

Output
The density of states at the Fermi level comes out at 1.306 states/eV per atom. The relative energy among the computed polymorphs comes out at 51.99 kcal/mol of atoms. For the uncorrected formation energy, the calculation gives 1.07 eV per atom. The calculation puts the volume at 29.512 Å³/atom. The total energy is -3.2262 eV/atom.

Lattice parameters (Å, degrees): 5.2843 5.2843 5.2843 90.00 90.00 90.00
Element x y z (fractional)
1 Se 0.5000 0.0000 0.0000
2 Se 0.0000 0.0000 0.5000
3 Se 0.0000 0.5000 0.0000
4 K 0.0000 0.0000 0.0000
5 Hf 0.5000 0.5000 0.5000

Entry 2:
First-principles (PBE) data for TcPb2Br after structural relaxation, as listed in the Alexandria database.

Output
The density of states at the Fermi level comes out at 0.628 states/eV per atom. The relative energy among the computed polymorphs comes out at 0.95 kcal/mol of atoms. For the uncorrected formation energy, the calculation gives 0.33 eV per atom. The calculation puts the volume at 27.818 Å³/atom. The total energy is -4.5353 eV/atom.

Lattice parameters (Å, degrees): 8.4295 8.4295 4.2629 75.37 75.37 22.34
Element x y z (fractional)
1 Pb 0.1676 0.1676 0.3325
2 Pb 0.0259 0.0259 0.9741
3 Br 0.8435 0.8435 0.6564
4 Tc 0.4630 0.4630 0.5370